1.
The following is a DFT calculation (PBE) of a geometry-optimized LaPa2Ga6 structure.

* M_tot: 0.001 μB per formula unit
* theoretical density: 8149 kg/m3
* space-group type: No. 71
* energy above the lowest structure with this stoichiometry: 2.61 kcal/mol of atoms
* formation energy: -291 meV/atom

a b c (Å): 4.532 7.687 7.687
angles (deg): 55.35 72.86 72.86
Element x y z (fractional)
Ga (0.693, 0.602, 0.012)
Ga (0.500, 0.305, 0.695)
Ga (0.307, 0.398, 0.988)
La (0.000, 0.000, 0.000)
Ga (0.693, 0.012, 0.602)
Pa (0.105, 0.395, 0.395)
Pa (0.895, 0.605, 0.605)
Ga (0.500, 0.695, 0.305)
Ga (0.307, 0.988, 0.398)

***

2.
The following is a DFT calculation (PBE) of a geometry-optimized RbGa2SnPb structure.

* M_tot: 0.000 μB per formula unit
* theoretical density: 6097 kg/m3
* space-group type: No. 44
* formation energy: -88 meV/atom

a b c (Å): 4.876 5.356 6.790
angles (deg): 113.23 111.04 90.00
Element x y z (fractional)
Pb (0.176, 0.676, 0.351)
Ga (0.693, 0.193, 0.387)
Ga (0.076, 0.076, 0.151)
Rb (0.436, 0.436, 0.872)
Sn (0.832, 0.832, 0.663)

***

3.
The following is a DFT calculation (PBE) of a geometry-optimized Sr2CeCuO5 structure.

* M_tot: 1.052 μB per formula unit
* theoretical density: 6060 kg/m3
* space-group type: No. 127
* raw formation energy: -2.18 eV per atom

a b c (Å): 5.942 6.506 6.506
angles (deg): 90.00 90.00 90.00
Site moments in Bohr magnetons follow the coordinates.
Element x y z (fractional)
Cu (0.000, 0.500, 0.000)  0.17
Ce (0.000, 0.000, 0.000)  0.73
Sr (0.500, 0.334, 0.834)  0.01
Sr (0.500, 0.834, 0.666)  0.01
Ce (0.000, 0.500, 0.500)  0.73
O (0.206, 0.652, 0.848)  0.03
O (0.794, 0.848, 0.348)  0.03
Sr (0.500, 0.666, 0.166)  0.01
Sr (0.500, 0.166, 0.334)  0.01
O (0.500, 0.000, 0.000)  -0.02
Cu (0.000, 0.000, 0.500)  0.17
O (0.500, 0.500, 0.500)  -0.02
O (0.794, 0.348, 0.152)  0.03
O (0.794, 0.652, 0.848)  0.03
O (0.206, 0.152, 0.652)  0.03
O (0.794, 0.152, 0.652)  0.03
O (0.206, 0.848, 0.348)  0.03
O (0.206, 0.348, 0.152)  0.03